NaMg2HAu, relaxed, DFT PBE; E = -1.231 eV/atom; energy above the most stable polymorph in this dataset = 1191 meV/atom; magnetization = 0.76 Bohr magnetons per cell; mass density = 2.60 g cm⁻³
1.0
5.726 0.000 0.000
0.000 5.726 0.000
0.000 0.000 5.258
Na Mg H Au
1 2 1 1
Cartesian
0.000 0.000 0.000
0.000 2.863 0.000
2.863 0.000 0.000
2.863 2.863 2.629
0.000 0.000 2.629